PrSm3Hg4, relaxed, DFT GGA-PBE; spin magnetization = 3.48 μB/cell; ΔE to the lowest computed polymorph = 0 meV/atom; formation energy = -0.472 eV per atom; crystal system = orthorhombic
1.0
10.731 0.000 0.000
0.000 7.698 0.000
0.000 0.000 5.364
Pr Sm Hg
2 6 8
direct
0.000 0.000 0.000 Pr
0.500 0.000 0.000 Pr
0.000 0.500 0.000 Sm
0.250 0.000 0.499 Sm
0.250 0.500 0.499 Sm
0.500 0.500 0.000 Sm
0.750 0.000 0.501 Sm
0.750 0.500 0.501 Sm
0.000 0.255 0.500 Hg
0.000 0.745 0.500 Hg
0.250 0.255 0.999 Hg
0.250 0.745 0.999 Hg
0.500 0.255 0.500 Hg
0.500 0.745 0.500 Hg
0.750 0.255 0.001 Hg
0.750 0.745 0.001 Hg